VASP calculation (PBE) on Cd6InHg3 after structural relaxation.

Unit cell a=6.3680 b=9.1368 c=9.1368 alpha=109.88 beta=90.00 gamma=90.00
Last column: nearest neighbours and their distance in Å.
Element x y z (fractional)
Cd1 0.3092 0.9588 0.0412  1 In 3.01, 4 Hg 3.02-3.03
Cd2 0.6451 0.2663 0.7337  6 Cd 3.07-3.19, 3 Hg 3.31-3.39, 1 In 3.32
Cd3 0.3466 0.0460 0.4693  3 Cd 2.96-3.19, 2 Hg 3.03-3.04, 2 In 3.25-3.28
Cd4 0.1451 0.7337 0.2663  6 Cd 3.07-3.19, 3 Hg 3.31-3.39, 1 In 3.32
Cd5 0.8466 0.4693 0.0460  3 Cd 2.96-3.19, 2 Hg 3.03-3.04, 2 In 3.25-3.28
Cd6 0.8092 0.0412 0.9588  1 In 3.01, 4 Hg 3.02-3.03
Cd7 0.5907 0.5895 0.7044  3 Cd 2.96-3.09, 3 Hg 2.99-3.04
Cd8 0.5907 0.2956 0.4105  3 Cd 2.96-3.09, 3 Hg 2.99-3.04
Cd9 0.3466 0.5307 0.9540  3 Cd 2.96-3.19, 2 Hg 3.03-3.04, 2 In 3.25-3.28
Cd10 0.8466 0.9540 0.5307  3 Cd 2.96-3.19, 2 Hg 3.03-3.04, 2 In 3.25-3.28
Cd11 0.0907 0.7044 0.5895  3 Cd 2.96-3.09, 3 Hg 2.99-3.04
Cd12 0.0907 0.4105 0.2956  3 Cd 2.96-3.09, 3 Hg 2.99-3.04
Hg1 0.5825 0.6139 0.3861  1 In 2.98, 3 Cd 2.99-3.31
Hg2 0.4705 0.9105 0.7172  6 Cd 2.99-3.04, 1 In 3.21
Hg3 0.4705 0.2828 0.0895  6 Cd 2.99-3.04, 1 In 3.21
Hg4 0.9705 0.0895 0.2828  6 Cd 2.99-3.04, 1 In 3.21
Hg5 0.9705 0.7172 0.9105  6 Cd 2.99-3.04, 1 In 3.21
Hg6 0.0825 0.3861 0.6139  1 In 2.98, 3 Cd 2.99-3.31
In1 0.1331 0.1878 0.8122  3 Hg 2.98-3.21, 6 Cd 3.01-3.32
In2 0.6331 0.8122 0.1878  3 Hg 2.98-3.21, 6 Cd 3.01-3.32

Results
calculated formation energy: 0.04 eV/atom
total energy: -0.064 Ry per atom
N(E_F): 5.5 states/eV per cell
space group: Cmc2_1 (36)
energy relative to the lowest polymorph listed for this composition: 3.4 meV per atom

---

VASP calculation (PBE) on CdIn8Hg3 after structural relaxation.

Unit cell a=8.4412 b=8.5475 c=8.4418 alpha=49.25 beta=108.78 gamma=130.75
Last column: nearest neighbours and their distance in Å.
Element x y z (fractional)
Hg1 0.2500 0.5000 0.2500  8 In 3.03-3.04
Hg2 0.7500 0.5000 0.7500  8 In 3.03-3.04
Hg3 0.5004 0.0000 0.4996  8 In 3.03-3.05
In1 0.6286 0.5002 0.3714  3 Hg 3.03-3.05, 1 Cd 3.04, 1 In 3.33
In2 0.8792 0.0000 0.6220  1 Cd 3.02, 3 Hg 3.03-3.04, 1 In 3.33
In3 0.1285 0.4998 0.8716  3 Hg 3.03-3.05, 1 Cd 3.04, 1 In 3.33
In4 0.1214 0.0000 0.3786  1 Cd 3.02, 3 Hg 3.03-3.04, 1 In 3.33
In5 0.3708 0.4986 0.6293  3 Hg 3.03-3.05, 1 Cd 3.04, 1 In 3.33
In6 0.6214 0.0000 0.8786  1 Cd 3.02, 3 Hg 3.03-3.04, 1 In 3.33
In7 0.8722 0.5014 0.1278  3 Hg 3.03-3.05, 1 Cd 3.04, 1 In 3.33
In8 0.3780 0.0000 0.1208  1 Cd 3.02, 3 Hg 3.03-3.04, 1 In 3.33
Cd1 0.9996 0.0000 0.0004  8 In 3.02-3.04

Results
calculated formation energy: 0.04 eV/atom
total energy: -0.142 Ry per atom
N(E_F): 6.7 states/eV per cell
space group: Fmm2 (42)

---

VASP calculation (PBE) on Cd6InHg2 after structural relaxation.

Unit cell a=4.2457 b=6.2798 c=8.8093 alpha=102.76 beta=90.00 gamma=109.76
Last column: nearest neighbours and their distance in Å.
Element x y z (fractional)
Cd1 0.0023 0.0046 0.6654  7 Cd 2.90-3.22, 1 In 2.95, 2 Hg 3.25
Cd2 0.3320 0.6640 0.1120  5 Cd 2.93-3.22, 3 Hg 2.97-3.17, 2 In 3.22
Cd3 0.9977 0.9954 0.3346  7 Cd 2.90-3.22, 1 In 2.95, 2 Hg 3.25
Cd4 0.3364 0.6729 0.4457  3 Hg 2.91-3.21, 7 Cd 2.93-3.24
Cd5 0.6680 0.3360 0.8880  5 Cd 2.93-3.22, 3 Hg 2.97-3.17, 2 In 3.22
Cd6 0.6636 0.3271 0.5543  3 Hg 2.91-3.21, 7 Cd 2.93-3.24
Hg1 0.3287 0.6574 0.7740  8 Cd 2.91-3.25
Hg2 0.6713 0.3426 0.2260  8 Cd 2.91-3.25
In1 0.0000 0.0000 0.0000  6 Cd 2.95-3.22, 4 Hg 3.27

Results
calculated formation energy: 0.01 eV/atom
total energy: -0.071 Ry per atom
N(E_F): 2.3 states/eV per cell
space group: C2/m (12)
energy relative to the lowest polymorph listed for this composition: 0.0 meV per atom